No. 1
Computed, not measured: crystalline CeAlZn3Ag at its relaxed geometry at the GGA-PBE level of DFT.

raw total energy: -0.201 Ry/atom
calculated volume: 478.8 Å³ per cell

a b c (Å): 5.854 13.767 5.941
angles (deg): 90.00 90.00 90.00
Space group Cmcm (No. 63)
One atom of each set of equivalent atoms:
Ce (0.000, 0.188, 0.250) x4
Al (0.000, 0.143, 0.750) x4
Zn (0.000, 0.384, 0.750) x4
Zn (0.213, 0.000, 0.000) x8
Ag (0.000, 0.397, 0.250) x4


No. 2
Computed, not measured: crystalline CeZrAlAg at its relaxed geometry at the GGA-PBE level of DFT.

raw total energy: -0.393 Ry/atom
calculated volume: 366.6 Å³ per cell

a b c (Å): 7.157 7.157 7.157
angles (deg): 90.00 90.00 90.00
Space group F-43m (No. 216)
One atom of each set of equivalent atoms:
Ce (0.000, 0.000, 0.000) x4
Zr (0.000, 0.000, 0.500) x4
Al (0.250, 0.250, 0.250) x4
Ag (0.250, 0.250, 0.750) x4


No. 3
Computed, not measured: crystalline AlAg2Cl6 at its relaxed geometry at the GGA-PBE level of DFT.

ΔE_f (raw): -7.81 eV per formula unit
calculated volume: 450.2 Å³ per cell
E above lowest polymorph: 28 meV per atom

a b c (Å): 6.356 6.695 11.921
angles (deg): 90.00 117.44 90.00
Space group P2_1/c (No. 14)
One atom of each set of equivalent atoms:
Al (0.000, 0.000, 0.000) x2
Ag (0.325, 0.115, 0.827) x4
Cl (0.061, 0.219, 0.407) x4
Cl (0.233, 0.687, 0.439) x4
Cl (0.353, 0.081, 0.201) x4


No. 4
Computed, not measured: crystalline AlAg2Cl at its relaxed geometry at the GGA-PBE level of DFT.

ΔE_f (raw): 1.07 eV per formula unit
calculated volume: 325.4 Å³ per cell
E above lowest polymorph: 479 meV per atom

a b c (Å): 6.878 6.878 6.878
angles (deg): 90.00 90.00 90.00
Space group Fm-3m (No. 225)
One atom of each set of equivalent atoms:
Al (0.000, 0.000, 0.000) x4
Ag (0.250, 0.250, 0.250) x8
Cl (0.000, 0.000, 0.500) x4


No. 5
Computed, not measured: crystalline Al3AgCl at its relaxed geometry at the GGA-PBE level of DFT.

ΔE_f (raw): 3.49 eV per formula unit
calculated volume: 126.2 Å³ per cell
E above lowest polymorph: 507 meV per atom

a b c (Å): 5.016 5.016 5.016
angles (deg): 90.00 90.00 90.00
Space group Pm-3m (No. 221)
One atom of each set of equivalent atoms:
Al (0.000, 0.000, 0.500) x3
Ag (0.500, 0.500, 0.500) x1
Cl (0.000, 0.000, 0.000) x1


No. 6
Computed, not measured: crystalline AlAg2Cl6 at its relaxed geometry at the GGA-PBE level of DFT.

ΔE_f (raw): -8.06 eV per formula unit
calculated volume: 971.1 Å³ per cell
E above lowest polymorph: 0 meV per atom

a b c (Å): 12.609 16.061 5.210
angles (deg): 90.00 113.01 90.00
Space group C2/c (No. 15)
One atom of each set of equivalent atoms:
Al (0.000, 0.178, 0.250) x4
Ag (0.142, 0.412, 0.595) x8
Cl (0.110, 0.102, 0.120) x8
Cl (0.112, 0.255, 0.597) x8
Cl (0.137, 0.429, 0.094) x8


No. 7
Computed, not measured: crystalline AlAg4Cl at its relaxed geometry at the GGA-PBE level of DFT.

ΔE_f (raw): 0.78 eV per formula unit
calculated volume: 491.4 Å³ per cell

a b c (Å): 7.891 7.891 7.891
angles (deg): 90.00 90.00 90.00
Space group F-43m (No. 216)
One atom of each set of equivalent atoms:
Al (0.000, 0.000, 0.000) x4
Ag (0.125, 0.125, 0.375) x16
Cl (0.250, 0.250, 0.750) x4


No. 8
Computed, not measured: crystalline AlAg3Cl6 at its relaxed geometry at the GGA-PBE level of DFT.

ΔE_f (raw): -8.49 eV per formula unit
calculated volume: 1085.6 Å³ per cell
E above lowest polymorph: 0 meV per atom

a b c (Å): 10.833 13.153 7.618
angles (deg): 90.00 90.00 90.00
Space group Cmc2_1 (No. 36)
One atom of each set of equivalent atoms:
Al (0.000, 0.173, 0.000) x4
Ag (0.000, 0.453, 0.383) x4
Ag (0.212, 0.094, 0.388) x8
Cl (0.000, 0.007, 0.010) x4
Cl (0.000, 0.222, 0.275) x4
Cl (0.164, 0.222, 0.867) x8
Cl (0.167, 0.496, 0.635) x8


No. 9
Computed, not measured: crystalline Al2AgCl8 at its relaxed geometry at the GGA-PBE level of DFT.

ΔE_f (raw): -13.08 eV per formula unit
calculated volume: 1471.9 Å³ per cell

a b c (Å): 18.299 8.878 11.900
angles (deg): 90.00 130.42 90.00
Space group C2/c (No. 15)
One atom of each set of equivalent atoms:
Al (0.085, 0.246, 0.044) x8
Ag (0.000, 0.023, 0.750) x4
Cl (0.061, 0.243, 0.663) x8
Cl (0.094, 0.212, 0.232) x8
Cl (0.143, 0.041, 0.016) x8
Cl (0.164, 0.439, 0.074) x8


No. 10
Computed, not measured: crystalline AlAg2Cl at its relaxed geometry at the GGA-PBE level of DFT.

ΔE_f (raw): -0.84 eV per formula unit
calculated volume: 235.8 Å³ per cell
E above lowest polymorph: 0 meV per atom

a b c (Å): 3.2042 3.2042 26.5171
angles (deg): 90.00 90.00 120.00
Space group R3m (No. 160, hexagonal axes)
One atom of each set of equivalent atoms:
Al (0.0000, 0.0000, 0.0000) x3
Ag (0.0000, 0.0000, 0.2628) x3
Ag (0.0000, 0.0000, 0.5137) x3
Cl (0.0000, 0.0000, 0.7304) x3


No. 11
Computed, not measured: crystalline Al2Ag2Cl at its relaxed geometry at the GGA-PBE level of DFT.

ΔE_f (raw): 0.28 eV per formula unit
calculated volume: 210.6 Å³ per cell

a b c (Å): 3.829 3.829 14.366
angles (deg): 90.00 90.00 90.00
Space group I4/mmm (No. 139)
One atom of each set of equivalent atoms:
Al (0.000, 0.500, 0.250) x4
Ag (0.000, 0.000, 0.116) x4
Cl (0.000, 0.000, 0.500) x2


No. 12
Computed, not measured: crystalline AlAg2Cl at its relaxed geometry at the GGA-PBE level of DFT.

ΔE_f (raw): 0.09 eV per formula unit
calculated volume: 326.9 Å³ per cell
E above lowest polymorph: 233 meV per atom

a b c (Å): 7.508 7.508 5.800
angles (deg): 90.00 90.00 90.00
Space group I-42d (No. 122)
One atom of each set of equivalent atoms:
Al (0.000, 0.000, 0.000) x4
Ag (0.233, 0.250, 0.125) x8
Cl (0.000, 0.000, 0.500) x4


No. 13
Computed, not measured: crystalline Al4Ag2Cl at its relaxed geometry at the GGA-PBE level of DFT.

ΔE_f (raw): 2.83 eV per formula unit
calculated volume: 312.5 Å³ per cell

a b c (Å): 4.871 4.871 13.171
angles (deg): 90.00 90.00 90.00
Space group I4/mmm (No. 139)
One atom of each set of equivalent atoms:
Al (0.000, 0.000, 0.202) x4
Al (0.000, 0.500, 0.000) x4
Ag (0.000, 0.000, 0.394) x4
Cl (0.000, 0.000, 0.000) x2


No. 14
Computed, not measured: crystalline AlAg2Cl at its relaxed geometry at the GGA-PBE level of DFT.

ΔE_f (raw): 0.97 eV per formula unit
calculated volume: 331.1 Å³ per cell
E above lowest polymorph: 452 meV per atom

a b c (Å): 6.918 6.918 6.918
angles (deg): 90.00 90.00 90.00
Space group F-43m (No. 216)
One atom of each set of equivalent atoms:
Al (0.000, 0.000, 0.000) x4
Ag (0.000, 0.000, 0.500) x4
Ag (0.250, 0.250, 0.250) x4
Cl (0.250, 0.250, 0.750) x4


No. 15
Computed, not measured: crystalline AlAgCl3 at its relaxed geometry at the GGA-PBE level of DFT.

ΔE_f (raw): -3.06 eV per formula unit
calculated volume: 113.2 Å³ per cell
E above lowest polymorph: 0 meV per atom

a b c (Å): 4.838 4.838 4.838
angles (deg): 90.00 90.00 90.00
Space group Pm-3m (No. 221)
One atom of each set of equivalent atoms:
Al (0.000, 0.000, 0.000) x1
Ag (0.500, 0.500, 0.500) x1
Cl (0.000, 0.000, 0.500) x3


No. 16
Computed, not measured: crystalline Al2AgCl2 at its relaxed geometry at the GGA-PBE level of DFT.

ΔE_f (raw): -1.56 eV per formula unit
calculated volume: 248.1 Å³ per cell
E above lowest polymorph: 0 meV per atom

a b c (Å): 7.254 7.254 4.714
angles (deg): 90.00 90.00 90.00
Space group P4/mbm (No. 127)
One atom of each set of equivalent atoms:
Al (0.232, 0.268, 0.000) x4
Ag (0.000, 0.000, 0.000) x2
Cl (0.167, 0.333, 0.500) x4


No. 17
Computed, not measured: crystalline AlAg2Cl at its relaxed geometry at the GGA-PBE level of DFT.

ΔE_f (raw): -0.22 eV per formula unit
calculated volume: 79.2 Å³ per cell
E above lowest polymorph: 156 meV per atom

a b c (Å): 3.085 3.085 8.319
angles (deg): 90.00 90.00 90.00
Space group P4mm (No. 99)
One atom of each set of equivalent atoms:
Al (0.000, 0.000, 0.000) x1
Ag (0.000, 0.000, 0.555) x1
Ag (0.500, 0.500, 0.789) x1
Cl (0.500, 0.500, 0.202) x1


No. 18
Computed, not measured: crystalline AlAg2Cl at its relaxed geometry at the GGA-PBE level of DFT.

ΔE_f (raw): -0.35 eV per formula unit
calculated volume: 157.9 Å³ per cell
E above lowest polymorph: 122 meV per atom

a b c (Å): 3.217 5.400 9.093
angles (deg): 90.00 90.00 90.00
Space group Cmm2 (No. 35)
One atom of each set of equivalent atoms:
Al (0.000, 0.000, 0.000) x2
Ag (0.000, 0.000, 0.480) x2
Ag (0.000, 0.500, 0.228) x2
Cl (0.000, 0.500, 0.801) x2


No. 19
Computed, not measured: crystalline AlAgCl4 at its relaxed geometry at the GGA-PBE level of DFT.

ΔE_f (raw): -7.12 eV per formula unit
calculated volume: 466.3 Å³ per cell
E above lowest polymorph: 18 meV per atom

a b c (Å): 6.585 6.589 10.748
angles (deg): 90.00 90.00 90.00
Space group P222 (No. 16)
One atom of each set of equivalent atoms:
Al (0.000, 0.000, 0.000) x1
Al (0.500, 0.000, 0.500) x1
Ag (0.000, 0.000, 0.500) x1
Ag (0.000, 0.500, 0.000) x1
Cl (0.187, 0.197, 0.886) x4
Cl (0.304, 0.190, 0.387) x4


No. 20
Computed, not measured: crystalline AlAg2Cl at its relaxed geometry at the GGA-PBE level of DFT.

ΔE_f (raw): -0.44 eV per formula unit
calculated volume: 77.0 Å³ per cell
E above lowest polymorph: 101 meV per atom

a b c (Å): 3.192 3.090 7.810
angles (deg): 90.00 90.30 90.00
Space group P2/m (No. 10)
One atom of each set of equivalent atoms:
Al (0.000, 0.000, 0.000) x1
Ag (0.493, 0.500, 0.781) x2
Cl (0.500, 0.000, 0.500) x1


No. 21
Computed, not measured: crystalline AlAg2Cl at its relaxed geometry at the GGA-PBE level of DFT.

ΔE_f (raw): 0.03 eV per formula unit
calculated volume: 78.0 Å³ per cell
E above lowest polymorph: 217 meV per atom

a b c (Å): 3.005 4.638 5.599
angles (deg): 90.00 90.00 90.00
Space group Pmmm (No. 47)
One atom of each set of equivalent atoms:
Al (0.000, 0.000, 0.000) x1
Ag (0.000, 0.500, 0.500) x1
Ag (0.500, 0.500, 0.000) x1
Cl (0.500, 0.000, 0.500) x1


No. 22
Computed, not measured: crystalline AlAgCl at its relaxed geometry at the GGA-PBE level of DFT.

ΔE_f (raw): -0.48 eV per formula unit
calculated volume: 266.7 Å³ per cell
E above lowest polymorph: 97 meV per atom

a b c (Å): 3.181 5.616 14.928
angles (deg): 90.00 90.00 90.00
Space group Fmm2 (No. 42)
One atom of each set of equivalent atoms:
Al (0.000, 0.000, 0.000) x4
Ag (0.000, 0.000, 0.361) x4
Cl (0.000, 0.000, 0.620) x4


No. 23
Computed, not measured: crystalline AlAg2Cl at its relaxed geometry at the GGA-PBE level of DFT.

ΔE_f (raw): -0.27 eV per formula unit
calculated volume: 74.4 Å³ per cell
E above lowest polymorph: 143 meV per atom

a b c (Å): 3.134 3.134 7.570
angles (deg): 90.00 90.00 90.00
Space group P4/mmm (No. 123)
One atom of each set of equivalent atoms:
Al (0.000, 0.000, 0.000) x1
Ag (0.500, 0.500, 0.232) x2
Cl (0.000, 0.000, 0.500) x1


No. 24
Computed, not measured: crystalline AlAgCl at its relaxed geometry at the GGA-PBE level of DFT.

ΔE_f (raw): -0.39 eV per formula unit
calculated volume: 339.5 Å³ per cell
E above lowest polymorph: 124 meV per atom

a b c (Å): 8.978 6.364 5.942
angles (deg): 90.00 90.00 90.00
Space group Amm2 (No. 38)
One atom of each set of equivalent atoms:
Al (0.230, 0.000, 0.000) x4
Ag (0.000, 0.000, 0.245) x2
Ag (0.500, 0.000, 0.121) x2
Cl (0.208, 0.000, 0.620) x4


No. 25
Computed, not measured: crystalline AlAg2Cl at its relaxed geometry at the GGA-PBE level of DFT.

ΔE_f (raw): 0.05 eV per formula unit
calculated volume: 150.4 Å³ per cell
E above lowest polymorph: 223 meV per atom

a b c (Å): 5.556 8.727 3.103
angles (deg): 90.00 90.45 90.00
Space group C2/m (No. 12)
One atom of each set of equivalent atoms:
Al (0.000, 0.000, 0.000) x2
Ag (0.250, 0.250, 0.500) x4
Cl (0.000, 0.500, 0.000) x2


Magnetic moment across the listed records, respectively: 3.2, 8.3, 0.0, 0.0, 0.0, 0.0, 0.0, 0.0, 4.1, 0.0, 0.0, 0.0, 0.0, 0.0, 0.0, 0.0, 0.0, 0.0, 0.0, 0.0, 0.0, 0.0, 0.0, 0.0, 0.0 Bohr magnetons per cell.
N(E_F) across the listed records, respectively: 1.438, 1.979, 0.530, 0.934, 0.461, 0.309, 0.155, 0.000, 0.375, 0.312, 0.358, 0.177, 0.407, 0.249, 0.367, 0.346, 0.346, 0.335, 0.000, 0.167, 0.210, 0.353, 0.366, 0.040, 0.192 states/eV/atom.